CsRb2PF6: optimized geometry, PBE.

a = 6.764 Å, b = 6.764 Å, c = 6.764 Å
α = 60.00°, β = 60.00°, γ = 90.00°
Sites, in units of the cell vectors:
Cs1 0.000 0.000 0.000
Rb1 0.750 0.250 0.500
Rb2 0.250 0.750 0.500
P1 0.500 0.500 0.000
F1 0.708 0.708 0.000
F2 0.292 0.292 0.417
F3 0.292 0.292 0.000
F4 0.292 0.708 0.000
F5 0.708 0.708 0.583
F6 0.708 0.292 0.000

Summary:
For the formation energy from raw total energies, the calculation gives -55.03 kcal/mol of atoms. As for the space group: Fm-3m (225). The density is 3.41 g/cm³.